No. 1
The following is a DFT calculation (PBE-GGA) of a relaxed structure of TaTc3C.

Results
Uncorrected energy (eV/cell): -36.7

Unit cell a=4.7344 b=4.7344 c=4.7344 alpha=90.00 beta=90.00 gamma=90.00
Closest atoms and distances in Å follow each position.
Fractional coordinates of all 5 atoms:
Ta  0.0000  0.0000  0.0000  6 Tc 2.37
Tc  0.0000  0.0000  0.5000  2 Ta 2.37
Tc  0.0000  0.5000  0.0000  2 Ta 2.37
Tc  0.5000  0.0000  0.0000  2 Ta 2.37
C  0.5000  0.5000  0.5000  12 Tc 3.35


No. 2
The following is a DFT calculation (PBE-GGA) of a relaxed structure of Cs4LiSb2.

Results
Energy relative to the elements, uncorrected (meV/atom): -364.0

Unit cell a=11.3106 b=11.3106 c=11.3106 alpha=33.58 beta=33.58 gamma=33.58
Closest atoms and distances in Å follow each position.
Fractional coordinates of all 7 atoms:
Cs  0.1180  0.1180  0.1180  3 Sb 3.93, 3 Li 4.08
Cs  0.2933  0.2933  0.2933  4 Sb 3.95-4.02
Cs  0.7067  0.7067  0.7067  4 Sb 3.95-4.02
Cs  0.8820  0.8820  0.8820  3 Sb 3.93, 3 Li 4.08
Li  0.5000  0.5000  0.5000  2 Sb 2.66
Sb  0.4167  0.4167  0.4167  1 Li 2.66
Sb  0.5833  0.5833  0.5833  1 Li 2.66


No. 3
The following is a DFT calculation (PBE-GGA) of a relaxed structure of LiCdGaO3.

Results
Energy relative to the elements, uncorrected (meV/atom): -1571.9

Unit cell a=5.8868 b=3.0481 c=7.4921 alpha=90.00 beta=94.45 gamma=90.00
Closest atoms and distances in Å follow each position.
Fractional coordinates of all 12 atoms:
Li  0.1916  0.2500  0.0252  5 O 2.05-2.24
Li  0.8084  0.7500  0.9748  5 O 2.05-2.24
Cd  0.4210  0.7500  0.6990  5 O 2.23-2.43
Cd  0.5790  0.2500  0.3010  5 O 2.23-2.43
Ga  0.0696  0.7500  0.3283  6 O 1.95-2.11
Ga  0.9304  0.2500  0.6717  6 O 1.95-2.11
O  0.0789  0.7500  0.8186  2 Ga 2.04, 3 Li 2.05-2.24, 1 Cd 2.27
O  0.1963  0.2500  0.5033  3 Ga 2.08-2.11
O  0.3325  0.7500  0.1859  1 Ga 1.95, 2 Li 2.08
O  0.6675  0.2500  0.8141  1 Ga 1.95, 2 Li 2.08
O  0.8037  0.7500  0.4967  3 Ga 2.08-2.11
O  0.9211  0.2500  0.1814  2 Ga 2.04, 3 Li 2.05-2.24, 1 Cd 2.27


No. 4
The following is a DFT calculation (PBE-GGA) of a relaxed structure of Pr3PdPt2.

Results
Uncorrected energy (eV/cell): -74.2

Unit cell a=7.3471 b=7.3471 c=8.4617 alpha=106.84 beta=106.84 gamma=47.98
Closest atoms and distances in Å follow each position.
Fractional coordinates of all 12 atoms:
Pr  0.0031  0.9969  0.7500  4 Pt 2.98-2.99, 2 Pd 2.99
Pr  0.3274  0.3322  0.9149  4 Pt 2.97-2.99, 2 Pd 3.03
Pr  0.3322  0.3274  0.4149  4 Pt 2.97-2.99, 2 Pd 3.03
Pr  0.6678  0.6726  0.5851  4 Pt 2.97-2.99, 2 Pd 3.03
Pr  0.6726  0.6678  0.0851  4 Pt 2.97-2.99, 2 Pd 3.03
Pr  0.9969  0.0031  0.2500  4 Pt 2.98-2.99, 2 Pd 2.99
Pd  0.4968  0.5032  0.2500  6 Pr 2.99-3.03
Pd  0.5032  0.4968  0.7500  6 Pr 2.99-3.03
Pt  0.1633  0.1679  0.5828  6 Pr 2.97-2.99
Pt  0.1679  0.1633  0.0828  6 Pr 2.97-2.99
Pt  0.8321  0.8367  0.9172  6 Pr 2.97-2.99
Pt  0.8367  0.8321  0.4172  6 Pr 2.97-2.99


No. 5
The following is a DFT calculation (PBE-GGA) of a relaxed structure of LiSb3Se.

Results
Energy relative to the elements, uncorrected (meV/atom): 446.3

Unit cell a=5.4796 b=5.4796 c=5.4796 alpha=90.00 beta=90.00 gamma=90.00
Closest atoms and distances in Å follow each position.
Fractional coordinates of all 5 atoms:
Li  0.0000  0.0000  0.0000  12 Sb 3.87
Sb  0.0000  0.5000  0.5000  2 Se 2.74
Sb  0.5000  0.0000  0.5000  2 Se 2.74
Sb  0.5000  0.5000  0.0000  2 Se 2.74
Se  0.5000  0.5000  0.5000  6 Sb 2.74


No. 6
The following is a DFT calculation (PBE-GGA) of a relaxed structure of FeBIr3.

Results
Uncorrected energy (eV/cell): -39.6

Unit cell a=4.0502 b=4.0502 c=4.0502 alpha=90.00 beta=90.00 gamma=90.00
Closest atoms and distances in Å follow each position.
Fractional coordinates of all 5 atoms:
Fe  0.0000  0.0000  0.0000  12 Ir 2.86
B  0.5000  0.5000  0.5000  6 Ir 2.03
Ir  0.0000  0.5000  0.5000  2 B 2.03
Ir  0.5000  0.0000  0.5000  2 B 2.03
Ir  0.5000  0.5000  0.0000  2 B 2.03


No. 7
The following is a DFT calculation (PBE-GGA) of a relaxed structure of Pm6PrEr2Sc.

Results
Uncorrected energy (eV/cell): -95.0

Unit cell a=8.8845 b=8.8845 c=9.3941 alpha=92.92 beta=92.92 gamma=116.30
Closest atoms and distances in Å follow each position.
Fractional coordinates of all 20 atoms:
Pm  0.0096  0.4472  0.8091  5 Pm 3.31-3.69, 1 Sc 3.38, 1 Er 3.43, 1 Pr 3.58
Pm  0.1187  0.7645  0.5536  7 Pm 3.49-3.76, 1 Er 3.53, 2 Pr 3.64-3.70
Pm  0.2355  0.8813  0.9464  7 Pm 3.49-3.76, 1 Er 3.53, 2 Pr 3.64-3.70
Pm  0.2927  0.5199  0.3885  4 Pm 3.28-3.52, 3 Er 3.28-3.47, 2 Sc 3.36-3.46
Pm  0.4472  0.0096  0.3091  5 Pm 3.31-3.69, 1 Sc 3.38, 1 Er 3.43, 1 Pr 3.58
Pm  0.4801  0.7073  0.1115  4 Pm 3.28-3.52, 3 Er 3.28-3.47, 2 Sc 3.36-3.46
Pm  0.5199  0.2927  0.8885  4 Pm 3.28-3.52, 3 Er 3.28-3.47, 2 Sc 3.36-3.46
Pm  0.5528  0.9904  0.6909  5 Pm 3.31-3.69, 1 Sc 3.38, 1 Er 3.43, 1 Pr 3.58
Pm  0.7073  0.4801  0.6115  4 Pm 3.28-3.52, 3 Er 3.28-3.47, 2 Sc 3.36-3.46
Pm  0.7645  0.1187  0.0536  7 Pm 3.49-3.76, 1 Er 3.53, 2 Pr 3.64-3.70
Pm  0.8813  0.2355  0.4464  7 Pm 3.49-3.76, 1 Er 3.53, 2 Pr 3.64-3.70
Pm  0.9904  0.5528  0.1909  5 Pm 3.31-3.69, 1 Sc 3.38, 1 Er 3.43, 1 Pr 3.58
Pr  0.0299  0.9701  0.2500  4 Er 3.39-3.55, 6 Pm 3.58-3.70
Pr  0.9701  0.0299  0.7500  4 Er 3.39-3.55, 6 Pm 3.58-3.70
Er  0.2078  0.3054  0.0527  5 Pm 3.28-3.53, 2 Pr 3.39-3.55, 1 Sc 3.42
Er  0.3054  0.2078  0.5527  5 Pm 3.28-3.53, 2 Pr 3.39-3.55, 1 Sc 3.42
Er  0.6946  0.7922  0.4473  5 Pm 3.28-3.53, 2 Pr 3.39-3.55, 1 Sc 3.42
Er  0.7922  0.6946  0.9473  5 Pm 3.28-3.53, 2 Pr 3.39-3.55, 1 Sc 3.42
Sc  0.4190  0.5810  0.7500  6 Pm 3.36-3.46, 2 Er 3.42
Sc  0.5810  0.4190  0.2500  6 Pm 3.36-3.46, 2 Er 3.42


No. 8
The following is a DFT calculation (PBE-GGA) of a relaxed structure of GeTe2P.

Results
Energy relative to the elements, uncorrected (meV/atom): 468.9

Unit cell a=8.9295 b=8.9295 c=8.9295 alpha=25.95 beta=25.95 gamma=25.95
Closest atoms and distances in Å follow each position.
Fractional coordinates of all 4 atoms:
Ge  0.0000  0.0000  0.0000  6 Te 2.91
Te  0.4015  0.4015  0.4015  1 P 2.55
Te  0.5985  0.5985  0.5985  1 P 2.55
P  0.5000  0.5000  0.5000  2 Te 2.55


No. 9
The following is a DFT calculation (PBE-GGA) of a relaxed structure of Cs3OsN.

Results
Energy relative to the elements, uncorrected (meV/atom): 1779.8

Unit cell a=5.9947 b=5.9947 c=5.9947 alpha=90.00 beta=90.00 gamma=90.00
Closest atoms and distances in Å follow each position.
Fractional coordinates of all 5 atoms:
Cs  0.0000  0.0000  0.5000  2 Os 3.00
Cs  0.0000  0.5000  0.0000  2 Os 3.00
Cs  0.5000  0.0000  0.0000  2 Os 3.00
Os  0.0000  0.0000  0.0000  6 Cs 3.00
N  0.5000  0.5000  0.5000  12 Cs 4.24


No. 10
The following is a DFT calculation (PBE-GGA) of a relaxed structure of KAl2V.

Results
Uncorrected energy (eV/cell): -14.8

Unit cell a=4.9594 b=4.9594 c=4.9594 alpha=60.00 beta=60.00 gamma=60.00
Closest atoms and distances in Å follow each position.
Fractional coordinates of all 4 atoms:
K  0.0000  0.0000  0.0000  8 Al 3.04
Al  0.2500  0.2500  0.2500  4 K 3.04, 4 V 3.04
Al  0.7500  0.7500  0.7500  4 K 3.04, 4 V 3.04
V  0.5000  0.5000  0.5000  8 Al 3.04


No. 11
The following is a DFT calculation (PBE-GGA) of a relaxed structure of K2Pa2O7.

Results
Energy relative to the elements, uncorrected (meV/atom): -2619.5

Unit cell a=5.4419 b=5.4419 c=6.4095 alpha=90.00 beta=90.00 gamma=96.81
Closest atoms and distances in Å follow each position.
Fractional coordinates of all 11 atoms:
K  0.2472  0.2472  0.0000  6 O 2.66-2.78
K  0.7528  0.7528  0.0000  6 O 2.66-2.78
Pa  0.2718  0.7282  0.5000  7 O 2.21-2.25
Pa  0.7282  0.2718  0.5000  7 O 2.21-2.25
O  0.0000  0.0000  0.5000  2 Pa 2.21
O  0.0000  0.5000  0.2951  2 Pa 2.24
O  0.0000  0.5000  0.7049  2 Pa 2.24
O  0.5000  0.0000  0.2951  2 Pa 2.24
O  0.5000  0.0000  0.7049  2 Pa 2.24
O  0.5000  0.5000  0.3015  2 Pa 2.25
O  0.5000  0.5000  0.6985  2 Pa 2.25


No. 12
The following is a DFT calculation (PBE-GGA) of a relaxed structure of Ca2NiSn3Pt4.

Results
Uncorrected energy (eV/cell): -52.5

Unit cell a=4.1240 b=4.1240 c=12.2914 alpha=90.00 beta=90.00 gamma=90.00
Closest atoms and distances in Å follow each position.
Fractional coordinates of all 10 atoms:
Ca  0.0000  0.5000  0.2230  4 Pt 3.07, 6 Sn 3.36-3.43, 2 Ni 3.43
Ca  0.5000  0.0000  0.7770  4 Pt 3.07, 6 Sn 3.36-3.43, 2 Ni 3.43
Ni  0.5000  0.5000  0.0000  4 Pt 2.72, 4 Sn 2.92
Sn  0.0000  0.0000  0.0000  4 Pt 2.72, 4 Ni 2.92
Sn  0.0000  0.5000  0.6410  5 Pt 2.64-2.69
Sn  0.5000  0.0000  0.3590  5 Pt 2.64-2.69
Pt  0.0000  0.0000  0.5000  4 Sn 2.69, 4 Pt 2.92
Pt  0.0000  0.5000  0.8559  3 Sn 2.64-2.72, 2 Ni 2.72
Pt  0.5000  0.0000  0.1441  3 Sn 2.64-2.72, 2 Ni 2.72
Pt  0.5000  0.5000  0.5000  4 Sn 2.69, 4 Pt 2.92